Entry 1:
Compound: K2LiBeAs2
Source: Alexandria
Functional: GGA-PBE
Structure: relaxed

Cell lengths 8.6578, 8.6578, 8.6578 Å; angles 137.82, 60.62, 138.55 degrees
Closest atoms and distances in Å follow each position.
Fractional positions:
1 K 0.1679 0.2354 0.4033  4 As 3.24-3.49, 2 Li 3.29, 2 Be 3.37
2 K 0.3321 0.7354 0.0675  4 As 3.24-3.49, 2 Li 3.29, 2 Be 3.37
3 K 0.6679 0.2646 0.9325  4 As 3.24-3.49, 2 Li 3.29, 2 Be 3.37
4 K 0.8321 0.7646 0.5967  4 As 3.24-3.49, 2 Li 3.29, 2 Be 3.37
5 Li 0.2500 0.2500 0.0000  4 As 2.65
6 Li 0.7500 0.7500 0.0000  4 As 2.65
7 Be 0.2500 0.7500 0.5000  4 As 2.38
8 Be 0.7500 0.2500 0.5000  4 As 2.38
9 As 0.0827 0.7144 0.7971  2 Be 2.38, 2 Li 2.65
10 As 0.4173 0.2144 0.6317  2 Be 2.38, 2 Li 2.65
11 As 0.5827 0.7856 0.3683  2 Be 2.38, 2 Li 2.65
12 As 0.9173 0.2856 0.2029  2 Be 2.38, 2 Li 2.65

Values from the calculation:
* ΔE_f: -0.407 eV per atom
* space group: Ibam (72)
* size of the total moment: 0.00 μB/f.u.
* E: -0.23982 Ry/atom
* DOS at the Fermi energy: 4.1 states/eV/f.u.

=====

Entry 2:
Compound: Nb3BiPd
Source: Alexandria
Functional: GGA-PBE
Structure: relaxed

Cell lengths 5.1186, 5.1186, 5.1186 Å; angles 90.00, 90.00, 90.00 degrees
Closest atoms and distances in Å follow each position.
Fractional positions:
1 Nb 0.0000 0.0000 0.5000  2 Bi 2.56
2 Nb 0.0000 0.5000 0.0000  2 Bi 2.56
3 Nb 0.5000 0.0000 0.0000  2 Bi 2.56
4 Bi 0.0000 0.0000 0.0000  6 Nb 2.56
5 Pd 0.5000 0.5000 0.5000  12 Nb 3.62

Values from the calculation:
* ΔE_f: 2.008 eV per atom
* space group: Pm-3m (221)
* size of the total moment: 0.00 μB/f.u.
* E: -0.42990 Ry/atom
* DOS at the Fermi energy: 7.8 states/eV/f.u.